Entry 1:
Here is an optimized crystal structure of Ba2LiUO6 from Alexandria. Energies are from PBE.

Cell: 8.490 8.490 8.490 Å, 90.00 90.00 90.00°
Space group Fm-3m (No. 225)
Inequivalent atoms, fractional coordinates:
Ba  0.250  0.250  0.250 x8
Li  0.000  0.000  0.000 x4
U  0.000  0.000  0.500 x4
O  0.000  0.000  0.257 x24

Results
DOS(E_F) in states/eV/atom: 0.746
Crystal system: cubic
Raw total energy in Ry/atom: -0.544
Size of the total moment in Bohr magnetons per cell: 4.11



Entry 2:
Here is an optimized crystal structure of Pr2SmY4 from Alexandria. Energies are from PBE.

Cell: 8.563 8.563 6.627 Å, 90.00 90.00 90.00°
Space group I4/mmm (No. 139)
Inequivalent atoms, fractional coordinates:
Pr  0.000  0.500  0.250 x4
Sm  0.000  0.000  0.000 x2
Y  0.198  0.198  0.500 x8

Results
DOS(E_F) in states/eV/atom: 1.887
Crystal system: tetragonal
Raw total energy in Ry/atom: -0.403
Formation energy from the elements in meV per atom: 246
Offset from the most stable computed form in eV/f.u.: 0.000
Size of the total moment in Bohr magnetons per cell: 0.00



Entry 3:
Here is an optimized crystal structure of CeH2I6 from Alexandria. Energies are from PBE.

Cell: 15.909 13.625 7.561 Å, 90.00 91.38 90.00°
Space group C2/c (No. 15)
Inequivalent atoms, fractional coordinates:
Ce  0.000  0.098  0.250 x4
H  0.139  0.478  0.489 x8
I  0.109  0.072  0.590 x8
I  0.118  0.242  0.116 x8
I  0.139  0.409  0.668 x8

Results
Crystal system: monoclinic
Raw total energy in Ry/atom: -0.224
Size of the total moment in Bohr magnetons per cell: 0.00



Entry 4:
Here is an optimized crystal structure of Hf2V9Mo from Alexandria. Energies are from PBE.

Cell: 5.1931 5.1931 23.8897 Å, 90.00 90.00 120.00°
Space group R-3m (No. 166, hexagonal axes)
Inequivalent atoms, fractional coordinates:
Hf  0.0000  0.0000  0.1436 x6
V  0.0000  0.0000  0.3325 x6
V  0.0000  0.0000  0.5000 x3
V  0.0011  0.5005  0.9191 x18
Mo  0.0000  0.0000  0.0000 x3

Results
DOS(E_F) in states/eV/atom: 1.441
Crystal system: trigonal
Raw total energy in Ry/atom: -0.677
Formation energy from the elements in meV per atom: 187
Size of the total moment in Bohr magnetons per cell: 0.00



Entry 5:
Here is an optimized crystal structure of TlSiAg4 from Alexandria. Energies are from PBE.

Cell: 7.883 7.883 7.883 Å, 90.00 90.00 90.00°
Space group F-43m (No. 216)
Inequivalent atoms, fractional coordinates:
Tl  0.000  0.000  0.000 x4
Si  0.250  0.250  0.250 x4
Ag  0.125  0.125  0.625 x16

Results
DOS(E_F) in states/eV/atom: 0.834
Crystal system: cubic
Raw total energy in Ry/atom: -0.210
Size of the total moment in Bohr magnetons per cell: 0.00



Entry 6:
Here is an optimized crystal structure of HoScCdCu from Alexandria. Energies are from PBE.

Cell: 3.387 3.387 7.480 Å, 90.00 90.00 90.00°
Space group P4mm (No. 99)
Inequivalent atoms, fractional coordinates:
Ho  0.000  0.000  0.000 x1
Sc  0.000  0.000  0.561 x1
Cd  0.500  0.500  0.297 x1
Cu  0.500  0.500  0.757 x1

Results
DOS(E_F) in states/eV/atom: 0.712
Crystal system: tetragonal
Raw total energy in Ry/atom: -0.313
Formation energy from the elements in meV per atom: -276
Offset from the most stable computed form in eV/f.u.: 0.000
Size of the total moment in Bohr magnetons per cell: 0.00



Entry 7:
Here is an optimized crystal structure of Tb7CeHo12 from Alexandria. Energies are from PBE.

Cell: 12.2646 12.2646 14.8308 Å, 90.00 90.00 120.00°
Space group R-3 (No. 148, hexagonal axes)
Inequivalent atoms, fractional coordinates:
Tb  0.0000  0.0000  0.0000 x3
Tb  0.0666  0.2274  0.4008 x18
Ce  0.0000  0.0000  0.5000 x3
Ho  0.0212  0.5849  0.7112 x18
Ho  0.0392  0.8536  0.8112 x18

Results
DOS(E_F) in states/eV/atom: 1.967
Crystal system: trigonal
Raw total energy in Ry/atom: -0.324
Formation energy from the elements in meV per atom: 250
Offset from the most stable computed form in eV/f.u.: 0.000
Size of the total moment in Bohr magnetons per cell: 0.02



Entry 8:
Here is an optimized crystal structure of Cd3In2 from Alexandria. Energies are from PBE.

Cell: 8.4580 8.4580 12.7485 Å, 90.00 90.00 120.00°
Space group R-3c (No. 167, hexagonal axes)
Inequivalent atoms, fractional coordinates:
Cd  0.0000  0.3098  0.2500 x18
In  0.0000  0.0000  0.1208 x12

Results
DOS(E_F) in states/eV/atom: 0.422
Crystal system: trigonal
Raw total energy in Ry/atom: -0.114
Formation energy from the elements in meV per atom: 97
Offset from the most stable computed form in eV/f.u.: 0.389
Size of the total moment in Bohr magnetons per cell: 0.00



Entry 9:
Here is an optimized crystal structure of Er12CdRh6 from Alexandria. Energies are from PBE.

Cell: 9.790 9.790 9.790 Å, 90.00 90.00 90.00°
Space group Im-3 (No. 204)
Inequivalent atoms, fractional coordinates:
Er  0.000  0.300  0.189 x24
Cd  0.000  0.000  0.000 x2
Rh  0.000  0.131  0.500 x12

Results
DOS(E_F) in states/eV/atom: 1.044
Crystal system: cubic
Raw total energy in Ry/atom: -0.430
Formation energy from the elements in meV per atom: -594
Size of the total moment in Bohr magnetons per cell: 0.00



Entry 10:
Here is an optimized crystal structure of SmPaTc from Alexandria. Energies are from PBE.

Cell: 4.7465 4.7465 3.4878 Å, 90.00 90.00 120.00°
Space group P3m1 (No. 156)
Inequivalent atoms, fractional coordinates:
Sm  0.0000  0.0000  0.0000 x1
Pa  0.6667  0.3333  0.5907 x1
Tc  0.3333  0.6667  0.3729 x1

Results
DOS(E_F) in states/eV/atom: 1.363
Crystal system: trigonal
Raw total energy in Ry/atom: -0.593
Formation energy from the elements in meV per atom: 126
Offset from the most stable computed form in eV/f.u.: 0.755
Size of the total moment in Bohr magnetons per cell: 0.00



Entry 11:
Here is an optimized crystal structure of Tb6Nd2Sm3Dy from Alexandria. Energies are from PBE.

Cell: 6.232 10.789 11.900 Å, 90.00 100.02 90.00°
Space group C2/m (No. 12)
Inequivalent atoms, fractional coordinates:
Tb  0.249  0.000  0.249 x4
Tb  0.250  0.166  0.750 x8
Nd  0.000  0.334  0.500 x4
Sm  0.000  0.167  0.000 x4
Sm  0.000  0.500  0.000 x2
Dy  0.000  0.000  0.500 x2

Results
DOS(E_F) in states/eV/atom: 1.238
Crystal system: monoclinic
Raw total energy in Ry/atom: -0.343
Formation energy from the elements in meV per atom: 13
Size of the total moment in Bohr magnetons per cell: 0.00



Entry 12:
Here is an optimized crystal structure of Pr2ScAs3Pt4 from Alexandria. Energies are from PBE.

Cell: 4.273 4.273 11.116 Å, 90.00 90.00 90.00°
Space group P-4m2 (No. 115)
Inequivalent atoms, fractional coordinates:
Pr  0.000  0.500  0.222 x2
Sc  0.000  0.000  0.500 x1
As  0.000  0.500  0.866 x2
As  0.500  0.500  0.500 x1
Pt  0.000  0.000  0.000 x1
Pt  0.000  0.500  0.643 x2
Pt  0.500  0.500  0.000 x1

Results
DOS(E_F) in states/eV/atom: 0.399
Crystal system: tetragonal
Raw total energy in Ry/atom: -0.469
Formation energy from the elements in meV per atom: -981
Size of the total moment in Bohr magnetons per cell: 0.00